Version i
A geometry-optimized BePtS2Cl structure, computed with PBE.

Cell and atoms, written as POSCAR:
```
BePtS2Cl
1.0
-0.303 -4.496 1.379
4.459 -0.714 -1.350
1.531 1.246 4.398
S Be Pt Cl
2 1 1 1
Direct
0.000 0.500 0.000
0.500 0.000 0.000
0.500 0.500 0.500
0.000 0.000 0.000
0.000 0.000 0.500
```

- M_tot (Bohr magnetons per cell) = 0.00

***

Version ii
A geometry-optimized BePtS2Cl structure, computed with PBE.

Cell and atoms, written as POSCAR:
```
BePtS2Cl
1.0
4.519 0.000 0.000
0.000 4.519 0.000
0.000 0.000 3.979
Pt S Be Cl
1 2 1 1
Direct
0.500 0.500 0.500
0.000 0.500 0.000
0.500 0.000 0.000
0.000 0.000 0.000
0.000 0.000 0.500
```

- M_tot (Bohr magnetons per cell) = 0.00

***

Which is the most stable structure? version ii is the most stable.

***

Version i
A geometry-optimized BePtSCl2 structure, computed with PBE.

Cell and atoms, written as POSCAR:
```
BePtSCl2
1.0
3.929 0.000 0.000
0.000 3.929 0.000
0.000 0.000 7.419
Be S Pt Cl
1 1 1 2
Direct
0.000 0.000 0.000
0.000 0.000 0.500
0.500 0.500 0.500
0.500 0.000 0.000
0.000 0.500 0.000
```

- M_tot (Bohr magnetons per cell) = 0.59

***

Version ii
A geometry-optimized BePtSCl2 structure, computed with PBE.

Cell and atoms, written as POSCAR:
```
BePtSCl2
1.0
-2.501 -1.622 3.825
-1.322 -3.922 -2.527
3.832 -2.282 1.538
Cl S Pt Be
2 1 1 1
Direct
0.000 0.500 0.000
0.500 0.000 0.000
0.000 0.000 0.500
0.000 0.000 0.000
0.500 0.500 0.500
```

- M_tot (Bohr magnetons per cell) = 0.00

***

Which is the most stable structure? version i is the most stable.